VASP calculation (meta-GGA SCAN) on a PBEsol-optimized structure of KCu2Re.

## Properties
Formation energy, eV per atom: 0.8036
Density, g/cm³: 9.3
Energy, eV per cell: -106.61
ΔE to the lowest computed polymorph, meV per atom: 17
Total magnetic moment, μB/f.u.: 0.831

Cell: 4.9862 4.9862 2.5194 Å, 90.00 90.00 90.09°
Fractional positions:
K  0.0000  0.0000  0.0000
Cu  0.0000  0.5000  0.5000
Cu  0.5000  0.0000  0.5000
Re  0.5000  0.5000  0.0000

VASP calculation (meta-GGA SCAN) on a PBEsol-optimized structure of CaMoPb2.

## Properties
Formation energy, eV per atom: 0.2906
Density, g/cm³: 9.8
Energy, eV per cell: -194.95
ΔE to the lowest computed polymorph, meV per atom: 0
Total magnetic moment, μB/f.u.: 2.138

Cell: 5.8749 5.8749 5.8749 Å, 136.93 136.93 62.54°
Fractional positions:
Ca  0.0000  0.0000  0.0000
Mo  0.7500  0.2500  0.5000
Pb  0.2500  0.7500  0.5000
Pb  0.5000  0.5000  0.0000

VASP calculation (meta-GGA SCAN) on a PBEsol-optimized structure of Ba2CoGe2O7.

## Properties
Formation energy from raw total energies, meV/atom: -2271
Density, g/cm³: 5.1
Energy, eV per cell: -410.90
Total magnetic moment, μB/f.u.: 3.000

Cell: 8.3489 8.3489 5.5578 Å, 90.00 90.00 90.00°
Fractional positions:
Ba  0.1652  0.3348  0.4923
Ba  0.3348  0.8348  0.5077
Ba  0.6652  0.1652  0.5077
Ba  0.8348  0.6652  0.4923
Co  0.0000  0.0000  0.0000
Co  0.5000  0.5000  0.0000
Ge  0.1415  0.6415  0.9640
Ge  0.3585  0.1415  0.0360
Ge  0.6415  0.8585  0.0360
Ge  0.8585  0.3585  0.9640
O  0.0000  0.5000  0.8390
O  0.0795  0.8186  0.8141
O  0.1373  0.6373  0.2753
O  0.1814  0.0795  0.1859
O  0.3186  0.5795  0.8141
O  0.3627  0.1373  0.7247
O  0.4205  0.3186  0.1859
O  0.5000  0.0000  0.1610
O  0.5795  0.6814  0.1859
O  0.6373  0.8627  0.7247
O  0.6814  0.4205  0.8141
O  0.8186  0.9205  0.1859
O  0.8627  0.3627  0.2753
O  0.9205  0.1814  0.8141

VASP calculation (meta-GGA SCAN) on a PBEsol-optimized structure of BaCu2Ag.

## Properties
Formation energy, eV per atom: -0.0313
Density, g/cm³: 6.8
Energy, eV per cell: -101.44
Total magnetic moment, μB/f.u.: 0.000

Cell: 6.0760 6.0760 6.0760 Å, 41.87 41.87 41.87°
Fractional positions:
Ba  0.0000  0.0000  0.0000
Cu  0.4880  0.4880  0.4880
Cu  0.8067  0.8067  0.8067
Ag  0.1930  0.1930  0.1930

VASP calculation (meta-GGA SCAN) on a PBEsol-optimized structure of AgAu3.

## Properties
Formation energy, eV per atom: -0.0551
Density, g/cm³: 17.3
Energy, eV per cell: -239.06
ΔE to the lowest computed polymorph, meV per atom: 12
Total magnetic moment, μB/f.u.: 0.000

Cell: 2.8530 4.0606 5.7994 Å, 90.00 90.00 90.00°
Fractional positions:
Ag  0.0000  0.0000  0.0000
Au  0.0000  0.0000  0.5000
Au  0.5000  0.5000  0.2478
Au  0.5000  0.5000  0.7522

VASP calculation (meta-GGA SCAN) on a PBEsol-optimized structure of HgPt2Br.

## Properties
Formation energy from raw total energies, meV/atom: 678
Density, g/cm³: 15.7
Energy, eV per cell: -225.30
ΔE to the lowest computed polymorph, meV per atom: 507
Total magnetic moment, μB/f.u.: 0.000

Cell: 5.0325 5.0325 5.0325 Å, 130.99 130.99 71.83°
Fractional positions:
Hg  0.0000  0.0000  0.0000
Pt  0.2500  0.7500  0.5000
Pt  0.7500  0.2500  0.5000
Br  0.5000  0.5000  0.0000

VASP calculation (meta-GGA SCAN) on a PBEsol-optimized structure of SrScSi4.

## Properties
Formation energy from raw total energies, meV/atom: -59
Density, g/cm³: 3.9
Energy, eV per cell: -76.93
Total magnetic moment, μB/f.u.: 0.000

Cell: 5.2936 5.2936 5.2936 Å, 60.00 60.00 60.00°
Fractional positions:
Sr  0.0000  0.0000  0.0000
Sc  0.2500  0.2500  0.2500
Si  0.1347  0.6218  0.6218
Si  0.6218  0.1347  0.6218
Si  0.6218  0.6218  0.1347
Si  0.6218  0.6218  0.6218

VASP calculation (meta-GGA SCAN) on a PBEsol-optimized structure of CsSr3.

## Properties
Formation energy, eV per atom: 0.1909
Density, g/cm³: 2.8
Energy, eV per cell: -103.87
ΔE to the lowest computed polymorph, meV per atom: 7
Total magnetic moment, μB/f.u.: 0.442

Cell: 6.1876 6.1876 6.1876 Å, 90.00 90.00 90.00°
Fractional positions:
Cs  0.0000  0.0000  0.0000
Sr  0.0000  0.5000  0.5000
Sr  0.5000  0.0000  0.5000
Sr  0.5000  0.5000  0.0000

VASP calculation (meta-GGA SCAN) on a PBEsol-optimized structure of AlCdIr2.

## Properties
Formation energy, eV per atom: -0.4926
Density, g/cm³: 14.7
Energy, eV per cell: -182.34
Total magnetic moment, μB/f.u.: 0.000

Cell: 3.0025 3.0025 6.5817 Å, 90.00 90.00 90.00°
Fractional positions:
Al  0.0000  0.0000  0.0000
Cd  0.0000  0.0000  0.5000
Ir  0.5000  0.5000  0.2192
Ir  0.5000  0.5000  0.7808

VASP calculation (meta-GGA SCAN) on a PBEsol-optimized structure of BeCuPb2.

## Properties
Formation energy, eV per atom: 0.5718
Density, g/cm³: 10.2
Energy, eV per cell: -168.83
Total magnetic moment, μB/f.u.: 0.000

Cell: 3.4060 3.4060 6.8260 Å, 90.00 90.00 90.00°
Fractional positions:
Be  0.0000  0.0000  0.0000
Cu  0.0000  0.0000  0.5000
Pb  0.5000  0.5000  0.2496
Pb  0.5000  0.5000  0.7504

VASP calculation (meta-GGA SCAN) on a PBEsol-optimized structure of KBe3Pb.

## Properties
Formation energy, eV per atom: 1.1353
Density, g/cm³: 3.8
Energy, eV per cell: -91.49
Total magnetic moment, μB/f.u.: 0.000

Cell: 4.9189 4.9189 4.9189 Å, 90.00 90.00 90.00°
Fractional positions:
K  0.0000  0.0000  0.0000
Be  0.0000  0.5000  0.5000
Be  0.5000  0.0000  0.5000
Be  0.5000  0.5000  0.0000
Pb  0.5000  0.5000  0.5000

VASP calculation (meta-GGA SCAN) on a PBEsol-optimized structure of InCoF3.

## Properties
Formation energy from raw total energies, meV/atom: -1889
Density, g/cm³: 5.6
Energy, eV per cell: -70.76
Total magnetic moment, μB/f.u.: 3.000

Cell: 4.0781 4.0781 4.0781 Å, 90.00 90.00 90.00°
Fractional positions:
In  0.0000  0.0000  0.0000
Co  0.5000  0.5000  0.5000
F  0.0000  0.5000  0.5000
F  0.5000  0.0000  0.5000
F  0.5000  0.5000  0.0000